The following is a DFT calculation (PBE-GGA) of a geometry-optimized Sm2TmSn2 structure.

The structure in POSCAR format:
```
Sm2TmSn2
1.0
-3.977 0.232 -2.115
-1.945 -7.269 2.861
-3.262 3.435 6.510
Sm Tm Sn
4 2 4
direct
0.500 0.171 0.671
0.500 0.671 0.829
0.500 0.829 0.329
0.500 0.329 0.171
0.000 0.000 0.000
0.000 0.500 0.500
0.000 0.368 0.868
0.000 0.868 0.632
0.000 0.632 0.132
0.000 0.132 0.368
```

Properties
Energy of formation from the pure elements in eV/f.u.: -3.523
Energy above the most stable polymorph in this dataset in meV/atom: 0

The following is a DFT calculation (PBE-GGA) of a geometry-optimized Re3CS structure.

The structure in POSCAR format:
```
Re3CS
1.0
4.104 0.000 0.000
0.000 4.104 0.000
0.000 0.000 4.104
Re S C
3 1 1
direct
0.000 0.500 0.000
0.000 0.000 0.500
0.500 0.000 0.000
0.500 0.500 0.500
0.000 0.000 0.000
```

Properties
Uncorrected formation energy in eV per atom: 0.928

The following is a DFT calculation (PBE-GGA) of a geometry-optimized MgBTeI2 structure.

The structure in POSCAR format:
```
MgBTeI2
1.0
-2.769 -4.179 0.600
1.369 -1.567 -4.601
4.104 -2.425 2.047
I Mg Te B
2 1 1 1
direct
0.000 0.500 0.000
0.500 0.000 0.000
0.500 0.500 0.500
0.000 0.000 0.500
0.000 0.000 0.000
```

Properties
Energy above the most stable polymorph in this dataset in meV/atom: 0
Uncorrected formation energy in eV per atom: 0.497

The following is a DFT calculation (PBE-GGA) of a geometry-optimized SiNi2SI structure.

The structure in POSCAR format:
```
SiNi2SI
1.0
4.114 0.000 0.000
0.000 7.119 0.000
0.000 0.000 4.114
I Ni S Si
1 2 1 1
direct
0.000 0.500 0.000
0.000 0.000 0.500
0.500 0.000 0.000
0.000 0.000 0.000
0.500 0.500 0.500
```

Properties
Uncorrected formation energy in eV per atom: 0.567

The following is a DFT calculation (PBE-GGA) of a geometry-optimized Ta2TcSb structure.

The structure in POSCAR format:
```
Ta2TcSb
1.0
-0.645 -2.754 1.251
2.496 0.893 3.252
-4.288 2.223 2.681
Sb Ta Tc
1 2 1
direct
0.500 0.500 0.750
0.000 0.000 0.014
0.000 0.000 0.486
0.500 0.500 0.250
```

Properties
Uncorrected formation energy in eV per atom: 0.056

The following is a DFT calculation (PBE-GGA) of a geometry-optimized ZrTa2Fe structure.

The structure in POSCAR format:
```
ZrTa2Fe
1.0
-0.032 -1.448 -4.362
-2.504 -3.667 -1.186
-3.774 0.528 -2.569
Fe Ta Zr
1 2 1
direct
0.500 0.500 0.500
0.000 0.000 0.000
0.250 0.250 0.250
0.750 0.750 0.750
```

Properties
Energy of formation from the pure elements in eV/f.u.: 0.422
Energy above the most stable polymorph in this dataset in meV/atom: 135

The following is a DFT calculation (PBE-GGA) of a geometry-optimized ZnCdCu structure.

The structure in POSCAR format:
```
ZnCdCu
1.0
-4.602 1.564 0.135
-3.046 -2.741 -1.503
-0.868 -1.722 4.896
Zn Cd Cu
2 2 2
direct
0.880 0.560 0.771
0.120 0.440 0.229
0.740 0.130 0.346
0.260 0.870 0.654
0.538 0.231 0.864
0.462 0.769 0.136
```

Properties
Energy of formation from the pure elements in eV/f.u.: 0.141
Energy above the most stable polymorph in this dataset in meV/atom: 26

The following is a DFT calculation (PBE-GGA) of a geometry-optimized TePtSe2 structure.

The structure in POSCAR format:
```
TePtSe2
1.0
3.360 0.000 0.000
0.000 3.360 0.000
0.000 0.000 7.314
Pt Se Te
1 2 1
direct
0.500 0.500 0.760
0.000 0.000 0.974
0.500 0.500 0.242
0.000 0.000 0.524
```

Properties
Uncorrected formation energy in eV per atom: 0.374

no.,final energy (eV per formula unit)
1,-25.44
2,-46.05
3,-12.03
4,-19.83
5,-37.97
6,-40.29
7,-6.14
8,-14.65